# MgVFeHg2 (PBE, optimized geometry)
# energy relative to the elements: 611 kJ/mol of formula units
# D(E_F): 7.65 states/eV/cell
# calculated total energy: -2.69 eV/atom
# ρ: 6.47 Mg/m³
# total magnetic moment: 6.8 μB per formula unit
data_MgVFeHg2
_chemical_formula_sum 'Mg1 V1 Fe1 Hg2'
_cell_length_a 5.1690
_cell_length_b 5.1690
_cell_length_c 5.1117
_cell_angle_alpha 90.00
_cell_angle_beta 90.00
_cell_angle_gamma 90.00
_symmetry_space_group_name_H-M 'P 4/m m m'
_symmetry_Int_Tables_number 123
_symmetry_space_group_name_Hall '-P 4 2'
loop_
_atom_site_label
_atom_site_fract_x
_atom_site_fract_y
_atom_site_fract_z
Mg1 0.0000 0.0000 0.0000
V1 0.0000 0.0000 0.5000
Fe1 0.5000 0.5000 0.0000
Hg1 0.0000 0.5000 0.5000

# MgFeHg2W (PBE, optimized geometry)
# energy relative to the elements: 872 kJ/mol of formula units
# D(E_F): 4.08 states/eV/cell
# calculated total energy: -2.92 eV/atom
# ρ: 9.54 Mg/m³
# total magnetic moment: 3.1 μB per formula unit
data_MgFeHg2W
_chemical_formula_sum 'Mg1 Fe1 Hg2 W1'
_cell_length_a 4.8381
_cell_length_b 4.8381
_cell_length_c 4.9486
_cell_angle_alpha 90.00
_cell_angle_beta 90.00
_cell_angle_gamma 90.00
_symmetry_space_group_name_H-M 'P 4/m m m'
_symmetry_Int_Tables_number 123
_symmetry_space_group_name_Hall '-P 4 2'
loop_
_atom_site_label
_atom_site_fract_x
_atom_site_fract_y
_atom_site_fract_z
Mg1 0.0000 0.0000 0.0000
Fe1 0.5000 0.5000 0.5000
Hg1 0.0000 0.5000 0.0000
W1 0.0000 0.0000 0.5000

# Y2MgFeHg (PBE, optimized geometry)
# energy relative to the elements: 19 kJ/mol of formula units
# D(E_F): 4.04 states/eV/cell
# calculated total energy: -4.62 eV/atom
# ρ: 5.99 Mg/m³
# total magnetic moment: 0.0 μB per formula unit
data_Y2MgFeHg
_chemical_formula_sum 'Y2 Mg1 Fe1 Hg1'
_cell_length_a 5.0418
_cell_length_b 5.0418
_cell_length_c 5.0021
_cell_angle_alpha 90.00
_cell_angle_beta 90.00
_cell_angle_gamma 90.00
_symmetry_space_group_name_H-M 'P 4/m m m'
_symmetry_Int_Tables_number 123
_symmetry_space_group_name_Hall '-P 4 2'
loop_
_atom_site_label
_atom_site_fract_x
_atom_site_fract_y
_atom_site_fract_z
Y1 0.0000 0.5000 0.0000
Mg1 0.0000 0.0000 0.5000
Fe1 0.0000 0.0000 0.0000
Hg1 0.5000 0.5000 0.5000

# Mn2FeHg (PBE, optimized geometry)
# energy relative to the elements: 130 kJ/mol of formula units
# D(E_F): 3.75 states/eV/cell
# calculated total energy: -6.44 eV/atom
# ρ: 10.75 Mg/m³
# total magnetic moment: 3.2 μB per formula unit
data_Mn2FeHg
_chemical_formula_sum 'Mn2 Fe1 Hg1'
_cell_length_a 2.7342
_cell_length_b 2.7342
_cell_length_c 7.5665
_cell_angle_alpha 90.00
_cell_angle_beta 90.00
_cell_angle_gamma 90.00
_symmetry_space_group_name_H-M 'P 4 m m'
_symmetry_Int_Tables_number 99
_symmetry_space_group_name_Hall 'P 4 -2'
loop_
_atom_site_label
_atom_site_fract_x
_atom_site_fract_y
_atom_site_fract_z
Mn1 0.0000 0.0000 0.0000
Mn2 0.5000 0.5000 0.2156
Fe1 0.0000 0.0000 0.4236
Hg1 0.5000 0.5000 0.7074